No. 1
# GGA-PBE Na2Tl2Sn3, relaxed
# DOS at the Fermi energy (states/eV/f.u.): 2.659
# ΔE to the lowest computed polymorph (meV per atom): 0
# ΔH_f (0 K) (eV/atom): -0.082
data_Na2Tl2Sn3
_space_group_name_H-M_alt 'P 1'
_space_group_IT_number 1
_space_group_name_Hall 'P 1'
_cell_length_a 5.404
_cell_length_b 5.404
_cell_length_c 8.325
_cell_angle_alpha 89.80
_cell_angle_beta 109.14
_cell_angle_gamma 120.01
loop_
_atom_site_label
_atom_site_fract_x
_atom_site_fract_y
_atom_site_fract_z
Na1 0.432 0.717 0.149
Na2 0.568 0.283 0.851
Tl1 0.153 0.574 0.727
Tl2 0.847 0.426 0.273
Sn1 0.000 0.000 0.000
Sn2 0.719 0.859 0.578
Sn3 0.281 0.141 0.422

***

No. 2
# GGA-PBE Na5Tl3Sn, relaxed
# DOS at the Fermi energy (states/eV/f.u.): 4.220
# ΔH_f (0 K) (eV/atom): 0.036
data_Na5Tl3Sn
_space_group_name_H-M_alt 'P 1'
_space_group_IT_number 1
_space_group_name_Hall 'P 1'
_cell_length_a 9.534
_cell_length_b 9.534
_cell_length_c 8.581
_cell_angle_alpha 67.65
_cell_angle_beta 67.65
_cell_angle_gamma 72.32
loop_
_atom_site_label
_atom_site_fract_x
_atom_site_fract_y
_atom_site_fract_z
Na1 0.954 0.420 0.358
Na2 0.269 0.731 0.000
Na3 0.800 0.800 0.985
Na4 0.556 0.556 0.168
Na5 0.444 0.444 0.832
Na6 0.200 0.200 0.015
Na7 0.420 0.954 0.358
Na8 0.731 0.269 0.000
Na9 0.046 0.580 0.642
Na10 0.580 0.046 0.642
Tl1 0.670 0.670 0.767
Tl2 0.616 0.616 0.454
Tl3 0.000 0.000 0.000
Tl4 0.000 0.000 0.500
Tl5 0.330 0.330 0.233
Tl6 0.384 0.384 0.546
Sn1 0.167 0.167 0.627
Sn2 0.833 0.833 0.373

***

No. 3
# GGA-PBE Na4Tl5Sn, relaxed
# DOS at the Fermi energy (states/eV/f.u.): 4.289
# ΔE to the lowest computed polymorph (meV per atom): 0
# ΔH_f (0 K) (eV/atom): -0.086
data_Na4Tl5Sn
_space_group_name_H-M_alt 'P 1'
_space_group_IT_number 1
_space_group_name_Hall 'P 1'
_cell_length_a 3.991
_cell_length_b 3.991
_cell_length_c 17.873
_cell_angle_alpha 90.00
_cell_angle_beta 90.00
_cell_angle_gamma 90.00
loop_
_atom_site_label
_atom_site_fract_x
_atom_site_fract_y
_atom_site_fract_z
Na1 0.000 0.000 0.198
Na2 0.000 0.000 0.400
Na3 0.000 0.000 0.600
Na4 0.000 0.000 0.802
Tl1 0.500 0.500 0.097
Tl2 0.500 0.500 0.301
Tl3 0.500 0.500 0.500
Tl4 0.500 0.500 0.699
Tl5 0.500 0.500 0.903
Sn1 0.000 0.000 0.000

***

No. 4
# GGA-PBE Na2TlSn2, relaxed
# DOS at the Fermi energy (states/eV/f.u.): 1.527
# ΔE to the lowest computed polymorph (meV per atom): 0
# ΔH_f (0 K) (eV/atom): -0.122
data_Na2TlSn2
_space_group_name_H-M_alt 'P 1'
_space_group_IT_number 1
_space_group_name_Hall 'P 1'
_cell_length_a 5.381
_cell_length_b 5.391
_cell_length_c 6.411
_cell_angle_alpha 65.27
_cell_angle_beta 65.19
_cell_angle_gamma 60.06
loop_
_atom_site_label
_atom_site_fract_x
_atom_site_fract_y
_atom_site_fract_z
Na1 0.400 0.400 0.801
Na2 0.600 0.600 0.199
Tl1 0.000 0.000 0.000
Sn1 0.807 0.807 0.580
Sn2 0.193 0.193 0.420

***

No. 5
# GGA-PBE NaTl7Sn3, relaxed
# DOS at the Fermi energy (states/eV/f.u.): 4.784
# ΔH_f (0 K) (eV/atom): 0.078
data_NaTl7Sn3
_space_group_name_H-M_alt 'P 1'
_space_group_IT_number 1
_space_group_name_Hall 'P 1'
_cell_length_a 6.549
_cell_length_b 7.512
_cell_length_c 7.512
_cell_angle_alpha 98.94
_cell_angle_beta 99.52
_cell_angle_gamma 99.52
loop_
_atom_site_label
_atom_site_fract_x
_atom_site_fract_y
_atom_site_fract_z
Na1 0.500 0.500 0.500
Tl1 0.142 0.189 0.189
Tl2 0.303 0.998 0.597
Tl3 0.697 0.403 0.002
Tl4 0.303 0.597 0.998
Tl5 0.000 0.500 0.500
Tl6 0.697 0.002 0.403
Tl7 0.858 0.811 0.811
Sn1 0.000 0.767 0.233
Sn2 0.500 0.000 0.000
Sn3 0.000 0.233 0.767

***

No. 6
# GGA-PBE Na2TlSn, relaxed
# DOS at the Fermi energy (states/eV/f.u.): 1.371
# ΔH_f (0 K) (eV/atom): -0.114
data_Na2TlSn
_space_group_name_H-M_alt 'P 1'
_space_group_IT_number 1
_space_group_name_Hall 'P 1'
_cell_length_a 3.418
_cell_length_b 5.662
_cell_length_c 5.662
_cell_angle_alpha 90.00
_cell_angle_beta 90.00
_cell_angle_gamma 90.00
loop_
_atom_site_label
_atom_site_fract_x
_atom_site_fract_y
_atom_site_fract_z
Na1 0.000 0.000 0.500
Na2 0.000 0.500 0.000
Tl1 0.500 0.500 0.500
Sn1 0.500 0.000 0.000

***

Q: Which value of ΔH_f (0 K) does entry 3 give?
A: -0.086 eV/atom

***

Q: The lowest DOS at the Fermi energy belongs to which entry?
A: Na2TlSn

***

Q: What is the formula in the second record?
A: Na5Tl3Sn

***

Q: Among the records above, which one has the lowest DOS at the Fermi energy?
A: Na2TlSn